# 1
Computed, not measured: an optimized crystal structure of BaYGaSe4 at the PBE level of DFT.

Geometry as CIF:
```
data_BaYGaSe4
_cell_length_a 6.8358
_cell_length_b 7.0659
_cell_length_c 8.7680
_cell_angle_alpha 90.00
_cell_angle_beta 107.49
_cell_angle_gamma 90.00
_space_group_name_H-M_alt 'P 1 21/m 1'
_space_group_IT_number 11
_space_group_name_Hall '-P 2yb'
loop_
_atom_site_label
_atom_site_fract_x
_atom_site_fract_y
_atom_site_fract_z
Ba1 0.2439 0.2500 0.0586
Y1 0.2281 0.2500 0.5557
Ga1 0.2291 0.7500 0.3256
Se1 0.0131 0.5103 0.7189
Se2 0.4277 0.7500 0.1415
Se3 0.4526 0.7500 0.5923
```

# 2
Computed, not measured: an optimized crystal structure of Ba2YGaSe5 at the PBE level of DFT.

Geometry as CIF:
```
data_Ba2YGaSe5
_cell_length_a 7.4217
_cell_length_b 8.7806
_cell_length_c 9.5647
_cell_angle_alpha 103.48
_cell_angle_beta 103.02
_cell_angle_gamma 107.40
_space_group_name_H-M_alt 'P -1'
_space_group_IT_number 2
_space_group_name_Hall '-P 1'
loop_
_atom_site_label
_atom_site_fract_x
_atom_site_fract_y
_atom_site_fract_z
Ba1 0.1312 0.4774 0.2882
Ba2 0.1539 0.9873 0.2910
Y1 0.4976 0.2299 0.9979
Ga1 0.3101 0.3735 0.6886
Se1 0.0058 0.7565 0.5058
Se2 0.2071 0.9110 0.9453
Se3 0.2145 0.4089 0.9260
Se4 0.4895 0.6555 0.6906
Se5 0.4911 0.1841 0.6871
```

# 3
Computed, not measured: an optimized crystal structure of Ba2ZnGaSe5 at the PBE level of DFT.

Geometry as CIF:
```
data_Ba2ZnGaSe5
_cell_length_a 4.1898
_cell_length_b 20.2129
_cell_length_c 12.5047
_cell_angle_alpha 90.00
_cell_angle_beta 90.00
_cell_angle_gamma 90.00
_space_group_name_H-M_alt 'C m c 21'
_space_group_IT_number 36
_space_group_name_Hall 'C 2c -2'
loop_
_atom_site_label
_atom_site_fract_x
_atom_site_fract_y
_atom_site_fract_z
Ba1 0.0000 0.1111 0.0000
Ba2 0.0000 0.1228 0.3836
Zn1 0.0000 0.2344 0.7292
Ga1 0.0000 0.4380 0.1572
Se1 0.0000 0.0324 0.7565
Se2 0.0000 0.2890 0.3596
Se3 0.0000 0.3176 0.1184
Se4 0.0000 0.3516 0.6915
Se5 0.0000 0.4860 0.9812
```

Number 1: E_form (uncorrected) -988 kJ/mol of formula units. Number 2: E_form (uncorrected) -1437 kJ/mol of formula units. Number 3: E_form (uncorrected) -983 kJ/mol of formula units.